[1]
VASP calculation (GGA-PBE) on crystalline GaSi2S6 at its relaxed geometry.

Cell: 12.0128 12.8730 5.9834 Å, 90.00 114.76 90.00°
Closest atoms and distances in Å follow each position.
Space group C2/c (No. 15)
Unique sites:
1 Ga 0.0000 0.2089 0.2500 (multiplicity 4)  4 S 2.29-2.33
2 Si 0.2212 0.4236 0.3437 (multiplicity 8)  4 S 2.13-2.16
3 S 0.0910 0.0975 0.5858 (multiplicity 8)  1 Si 2.13, 1 Ga 2.33
4 S 0.1351 0.2906 0.1294 (multiplicity 8)  1 Si 2.13, 1 Ga 2.29
5 S 0.1646 0.4325 0.6404 (multiplicity 8)  2 Si 2.15-2.16

Values from the calculation:
- DFT total energy (eV per cell) = -171.797
- uncorrected formation energy (eV per atom) = -0.479



[2]
VASP calculation (GGA-PBE) on crystalline Ga2SiS at its relaxed geometry.

Cell: 6.5674 6.5674 6.5674 Å, 90.00 90.00 90.00°
Closest atoms and distances in Å follow each position.
Space group Fm-3m (No. 225)
Unique sites:
1 Ga 0.2500 0.2500 0.2500 (multiplicity 8)  4 S 2.84, 4 Si 2.84
2 Si 0.0000 0.0000 0.0000 (multiplicity 4)  8 Ga 2.84
3 S 0.0000 0.0000 0.5000 (multiplicity 4)  8 Ga 2.84

Values from the calculation:
- E above lowest polymorph (kJ per mole of atoms) = 56.8
- DFT total energy (eV per cell) = -57.258
- uncorrected formation energy (eV per atom) = 0.322



[3]
VASP calculation (GGA-PBE) on crystalline GaSi2S at its relaxed geometry.

Cell: 3.5347 3.5347 5.7885 Å, 90.00 90.00 90.00°
Closest atoms and distances in Å follow each position.
Space group P4mm (No. 99)
Unique sites:
1 Ga 0.0000 0.0000 0.0000 (multiplicity 1)  1 Si 2.49, 4 S 2.58
2 Si 0.0000 0.0000 0.5693 (multiplicity 1)  1 Ga 2.49, 4 Si 2.53
3 Si 0.5000 0.5000 0.5010 (multiplicity 1)  1 S 2.25
4 S 0.5000 0.5000 0.1120 (multiplicity 1)  1 Si 2.25

Values from the calculation:
- E above lowest polymorph (kJ per mole of atoms) = 8.6
- DFT total energy (eV per cell) = -18.071
- uncorrected formation energy (eV per atom) = -0.018



- What is the uncorrected formation energy in the third record?
  -0.018 eV per atom